No. 1
CaIrCl after structural relaxation, computed with PBE.

Cell and atoms, written as extended XYZ:
```
6
Lattice="-7.565 0.904 -0.940 5.668 -3.916 3.301 -0.578 5.162 2.251" Properties=species:S:1:pos:R:3 pbc="T T T"
Ca 0.120 -0.771 2.009
Ca -1.837 2.610 0.881
Ir -2.383 -0.482 0.375
Ir -3.093 2.664 3.811
Cl -4.582 0.931 0.514
Cl 0.509 2.223 2.268
```

Values from the calculation:
Magnetization, μB per atom: 0.000
Uncorrected formation energy, eV/f.u.: -2.56
Energy, eV per atom: -5.09
Density of states at the Fermi level, states/eV per atom: 0.498
Energy above the most stable polymorph in this dataset, eV per formula unit: 1.14

---

No. 2
BeTe2Cl after structural relaxation, computed with PBE.

Cell and atoms, written as extended XYZ:
```
4
Lattice="3.464 0.000 0.000 0.000 3.464 0.000 0.000 0.000 7.468" Properties=species:S:1:pos:R:3 pbc="T T T"
Be 1.732 1.732 1.867
Te 0.000 0.000 0.462
Te 0.000 0.000 3.272
Cl 1.732 1.732 5.601
```

Values from the calculation:
Magnetization, μB per atom: 0.000
Uncorrected formation energy, eV/f.u.: 0.48
Energy, eV per atom: -2.84
Density of states at the Fermi level, states/eV per atom: 0.184
Energy above the most stable polymorph in this dataset, eV per formula unit: 1.90